1.
{"formula": "TaBeFeSi", "functional": "GGA-PBE", "state": "optimized geometry", "cell": [[0.000, 2.899, 2.899], [2.899, 0.000, 2.899], [2.899, 2.899, 0.000]], "species": ["Ta", "Be", "Fe", "Si"], "frac_coords": [[0.000, 0.000, 0.000], [0.250, 0.250, 0.250], [0.750, 0.750, 0.750], [0.500, 0.500, 0.500]], "rho_g_cm3": 9.33, "total_magnetization_mub_per_cell": 0.92, "e_tot_ev_per_atom": -7.459, "e_above_lowest_polymorph_ev_per_fu": 0.00}

---

2.
{"formula": "TaBeFeSi", "functional": "GGA-PBE", "state": "optimized geometry", "cell": [[0.000, 2.910, 2.910], [2.910, 0.000, 2.910], [2.910, 2.910, 0.000]], "species": ["Ta", "Be", "Fe", "Si"], "frac_coords": [[0.000, 0.000, 0.000], [0.750, 0.750, 0.750], [0.500, 0.500, 0.500], [0.250, 0.250, 0.250]], "rho_g_cm3": 9.23, "total_magnetization_mub_per_cell": 1.64, "e_tot_ev_per_atom": -7.306, "e_above_lowest_polymorph_ev_per_fu": 0.61}